No. 1
A plane-wave DFT calculation with PBE-GGA was carried out for an optimized crystal structure of Li2Cu2Si5O13.

## Properties
total magnetization	1.9	μB per formula unit
electronic total energy	-6.96	eV/atom
formation energy from raw total energies	-2.25	eV/atom

abc: 7.692 7.997 9.666
angles: 82.95 68.91 66.22
Positions (direct):
Li: 0.151 0.397 0.242
Li: 0.247 0.051 0.323
Li: 0.753 0.949 0.677
Li: 0.849 0.603 0.758
Cu: 0.033 0.143 0.102
Cu: 0.426 0.836 0.907
Cu: 0.574 0.164 0.093
Cu: 0.967 0.857 0.898
Si: 0.177 0.225 0.765
Si: 0.196 0.699 0.553
Si: 0.229 0.751 0.239
Si: 0.321 0.460 0.905
Si: 0.393 0.289 0.452
Si: 0.607 0.711 0.548
Si: 0.679 0.540 0.095
Si: 0.771 0.249 0.761
Si: 0.804 0.301 0.447
Si: 0.823 0.775 0.235
O: 0.001 0.228 0.300
O: 0.051 0.682 0.249
O: 0.171 0.833 0.408
O: 0.193 0.056 0.880
O: 0.203 0.679 0.933
O: 0.208 0.394 0.818
O: 0.222 0.499 0.502
O: 0.256 0.917 0.128
O: 0.337 0.332 0.047
O: 0.339 0.161 0.596
O: 0.382 0.212 0.309
O: 0.390 0.704 0.579
O: 0.443 0.578 0.205
O: 0.557 0.422 0.795
O: 0.610 0.296 0.421
O: 0.618 0.788 0.691
O: 0.661 0.839 0.404
O: 0.663 0.668 0.953
O: 0.744 0.083 0.872
O: 0.778 0.501 0.498
O: 0.792 0.606 0.182
O: 0.797 0.321 0.067
O: 0.807 0.944 0.120
O: 0.829 0.167 0.592
O: 0.949 0.318 0.751
O: 0.999 0.772 0.700

=====

No. 2
A plane-wave DFT calculation with PBE-GGA was carried out for an optimized crystal structure of Nd2Dy3ErTe6.

## Properties
total magnetization	0.0	μB per formula unit
electronic total energy	-5.21	eV/atom
formation energy from raw total energies	-1.32	eV/atom

abc: 9.849 9.849 8.853
angles: 102.91 102.91 25.58
Positions (direct):
Nd: 0.171 0.171 0.338
Nd: 0.829 0.829 0.662
Dy: 0.174 0.174 0.836
Dy: 0.500 0.500 0.500
Dy: 0.826 0.826 0.164
Er: 0.500 0.500 0.000
Te: 0.004 0.004 0.754
Te: 0.338 0.338 0.410
Te: 0.338 0.338 0.927
Te: 0.662 0.662 0.073
Te: 0.662 0.662 0.590
Te: 0.996 0.996 0.246

=====

No. 3
A plane-wave DFT calculation with PBE-GGA was carried out for an optimized crystal structure of LaZrCd2.

## Properties
total magnetization	0.0	μB per formula unit
electronic total energy	-3.64	eV/atom
energy relative to the lowest polymorph listed for this composition	1.407	eV per formula unit

abc: 6.773 6.773 6.773
angles: 101.28 101.28 127.49
Positions (direct):
La: 0.000 0.000 0.000
La: 0.750 0.250 0.500
Zr: 0.250 0.750 0.500
Zr: 0.500 0.500 0.000
Cd: 0.160 0.625 0.035
Cd: 0.375 0.410 0.535
Cd: 0.590 0.125 0.965
Cd: 0.875 0.840 0.465

=====

Question: electronic total energy of number 1 (Li2Cu2Si5O13)?
Answer: -6.96 eV/atom